[1]
# YBeCd | Alexandria | PBEsol | relaxed
# Relative energy among the computed polymorphs in kJ/mol of formula units: 98
# Crystal system: orthorhombic
# Space-group type: No. 44
data_YBeCd
_chemical_formula_sum 'Y1 Be1 Cd1'
_symmetry_space_group_name_H-M 'P 1'
_symmetry_Int_Tables_number 1
_cell_length_a 3.167
_cell_length_b 4.456
_cell_length_c 5.054
_cell_angle_alpha 116.16
_cell_angle_beta 108.26
_cell_angle_gamma 90.00
loop_
_symmetry_equiv_pos_as_xyz
'x,y,z'
loop_
_atom_site_label
_atom_site_type_symbol
_atom_site_fract_x
_atom_site_fract_y
_atom_site_fract_z
_atom_site_occupancy
Y1 Y 0.336 0.336 0.672 1
Be1 Be 0.991 0.991 0.982 1
Cd1 Cd 0.673 0.673 0.345 1

***

[2]
# YBeCd | Alexandria | PBEsol | relaxed
# Relative energy among the computed polymorphs in kJ/mol of formula units: 0
# Crystal system: hexagonal
# Space-group type: No. 187
data_YBeCd
_chemical_formula_sum 'Y1 Be1 Cd1'
_symmetry_space_group_name_H-M 'P 1'
_symmetry_Int_Tables_number 1
_cell_length_a 3.536
_cell_length_b 4.406
_cell_length_c 4.406
_cell_angle_alpha 120.00
_cell_angle_beta 90.00
_cell_angle_gamma 90.00
loop_
_symmetry_equiv_pos_as_xyz
'x,y,z'
loop_
_atom_site_label
_atom_site_type_symbol
_atom_site_fract_x
_atom_site_fract_y
_atom_site_fract_z
_atom_site_occupancy
Y1 Y 0.500 0.667 0.333 1
Be1 Be 0.000 0.000 0.000 1
Cd1 Cd 0.000 0.333 0.667 1

***

[3]
# YBe2Cd | Alexandria | PBEsol | relaxed
# Crystal system: tetragonal
# Space-group type: No. 141
data_YBe2Cd
_chemical_formula_sum 'Y2 Be4 Cd2'
_symmetry_space_group_name_H-M 'P 1'
_symmetry_Int_Tables_number 1
_cell_length_a 4.330
_cell_length_b 4.330
_cell_length_c 8.717
_cell_angle_alpha 104.38
_cell_angle_beta 104.38
_cell_angle_gamma 90.00
loop_
_symmetry_equiv_pos_as_xyz
'x,y,z'
loop_
_atom_site_label
_atom_site_type_symbol
_atom_site_fract_x
_atom_site_fract_y
_atom_site_fract_z
_atom_site_occupancy
Y1 Y 0.500 0.500 0.000 1
Y2 Y 0.750 0.250 0.500 1
Be1 Be 0.625 0.875 0.750 1
Be2 Be 0.125 0.875 0.750 1
Be3 Be 0.125 0.875 0.250 1
Be4 Be 0.125 0.375 0.250 1
Cd1 Cd 0.000 0.000 0.000 1
Cd2 Cd 0.250 0.750 0.500 1

***

[4]
# YBeCd | Alexandria | PBEsol | relaxed
# Relative energy among the computed polymorphs in kJ/mol of formula units: 47
# Crystal system: cubic
# Space-group type: No. 216
data_YBeCd
_chemical_formula_sum 'Y1 Be1 Cd1'
_symmetry_space_group_name_H-M 'P 1'
_symmetry_Int_Tables_number 1
_cell_length_a 4.451
_cell_length_b 4.451
_cell_length_c 4.451
_cell_angle_alpha 60.00
_cell_angle_beta 60.00
_cell_angle_gamma 60.00
loop_
_symmetry_equiv_pos_as_xyz
'x,y,z'
loop_
_atom_site_label
_atom_site_type_symbol
_atom_site_fract_x
_atom_site_fract_y
_atom_site_fract_z
_atom_site_occupancy
Y1 Y 0.500 0.500 0.500 1
Be1 Be 0.250 0.250 0.250 1
Cd1 Cd 0.000 0.000 0.000 1

***

[5]
# Be2ZnCd | Alexandria | PBEsol | relaxed
# Relative energy among the computed polymorphs in kJ/mol of formula units: 4
# Crystal system: orthorhombic
# Space-group type: No. 47
data_Be2ZnCd
_chemical_formula_sum 'Be2 Zn1 Cd1'
_symmetry_space_group_name_H-M 'P 1'
_symmetry_Int_Tables_number 1
_cell_length_a 2.668
_cell_length_b 4.111
_cell_length_c 4.956
_cell_angle_alpha 90.00
_cell_angle_beta 90.00
_cell_angle_gamma 90.00
loop_
_symmetry_equiv_pos_as_xyz
'x,y,z'
loop_
_atom_site_label
_atom_site_type_symbol
_atom_site_fract_x
_atom_site_fract_y
_atom_site_fract_z
_atom_site_occupancy
Be1 Be 0.000 0.000 0.000 1
Be2 Be 0.500 0.000 0.500 1
Zn1 Zn 0.000 0.500 0.500 1
Cd1 Cd 0.500 0.500 0.000 1

***

[6]
# Be2ZnCd | Alexandria | PBEsol | relaxed
# Relative energy among the computed polymorphs in kJ/mol of formula units: 0
# Crystal system: orthorhombic
# Space-group type: No. 65
data_Be2ZnCd
_chemical_formula_sum 'Be2 Zn1 Cd1'
_symmetry_space_group_name_H-M 'P 1'
_symmetry_Int_Tables_number 1
_cell_length_a 2.677
_cell_length_b 2.813
_cell_length_c 8.216
_cell_angle_alpha 90.00
_cell_angle_beta 90.00
_cell_angle_gamma 118.41
loop_
_symmetry_equiv_pos_as_xyz
'x,y,z'
loop_
_atom_site_label
_atom_site_type_symbol
_atom_site_fract_x
_atom_site_fract_y
_atom_site_fract_z
_atom_site_occupancy
Be1 Be 0.000 0.000 0.767 1
Be2 Be 0.000 0.000 0.233 1
Zn1 Zn 0.500 0.000 0.000 1
Cd1 Cd 0.500 0.000 0.500 1

***

[7]
# BeZnCd2 | Alexandria | PBEsol | relaxed
# Crystal system: tetragonal
# Space-group type: No. 119
data_BeZnCd2
_chemical_formula_sum 'Be1 Zn1 Cd2'
_symmetry_space_group_name_H-M 'P 1'
_symmetry_Int_Tables_number 1
_cell_length_a 3.987
_cell_length_b 3.987
_cell_length_c 4.948
_cell_angle_alpha 113.76
_cell_angle_beta 113.76
_cell_angle_gamma 90.00
loop_
_symmetry_equiv_pos_as_xyz
'x,y,z'
loop_
_atom_site_label
_atom_site_type_symbol
_atom_site_fract_x
_atom_site_fract_y
_atom_site_fract_z
_atom_site_occupancy
Be1 Be 0.250 0.750 0.500 1
Zn1 Zn 0.500 0.500 0.000 1
Cd1 Cd 0.000 0.000 0.000 1
Cd2 Cd 0.750 0.250 0.500 1

***

[8]
# ZrBeCd2 | Alexandria | PBEsol | relaxed
# Crystal system: monoclinic
# Space-group type: No. 12
data_ZrBeCd2
_chemical_formula_sum 'Zr1 Be1 Cd2'
_symmetry_space_group_name_H-M 'P 1'
_symmetry_Int_Tables_number 1
_cell_length_a 2.769
_cell_length_b 5.308
_cell_length_c 5.757
_cell_angle_alpha 115.56
_cell_angle_beta 100.59
_cell_angle_gamma 97.07
loop_
_symmetry_equiv_pos_as_xyz
'x,y,z'
loop_
_atom_site_label
_atom_site_type_symbol
_atom_site_fract_x
_atom_site_fract_y
_atom_site_fract_z
_atom_site_occupancy
Be1 Be 0.000 0.500 0.000 1
Zr1 Zr 0.500 0.000 0.000 1
Cd1 Cd 0.000 0.000 0.500 1
Cd2 Cd 0.500 0.500 0.500 1

***

[9]
# Zr2BeCd | Alexandria | PBEsol | relaxed
# Relative energy among the computed polymorphs in kJ/mol of formula units: 0
# Crystal system: tetragonal
# Space-group type: No. 123
data_Zr2BeCd
_chemical_formula_sum 'Zr2 Be1 Cd1'
_symmetry_space_group_name_H-M 'P 1'
_symmetry_Int_Tables_number 1
_cell_length_a 3.005
_cell_length_b 3.005
_cell_length_c 7.919
_cell_angle_alpha 90.00
_cell_angle_beta 90.00
_cell_angle_gamma 90.00
loop_
_symmetry_equiv_pos_as_xyz
'x,y,z'
loop_
_atom_site_label
_atom_site_type_symbol
_atom_site_fract_x
_atom_site_fract_y
_atom_site_fract_z
_atom_site_occupancy
Be1 Be 0.500 0.500 0.000 1
Zr1 Zr 0.000 0.000 0.786 1
Zr2 Zr 0.000 0.000 0.214 1
Cd1 Cd 0.500 0.500 0.500 1

***

[10]
# ZrBeCd4 | Alexandria | PBEsol | relaxed
# Crystal system: cubic
# Space-group type: No. 216
data_ZrBeCd4
_chemical_formula_sum 'Zr1 Be1 Cd4'
_symmetry_space_group_name_H-M 'P 1'
_symmetry_Int_Tables_number 1
_cell_length_a 5.531
_cell_length_b 5.531
_cell_length_c 5.531
_cell_angle_alpha 60.00
_cell_angle_beta 60.00
_cell_angle_gamma 60.00
loop_
_symmetry_equiv_pos_as_xyz
'x,y,z'
loop_
_atom_site_label
_atom_site_type_symbol
_atom_site_fract_x
_atom_site_fract_y
_atom_site_fract_z
_atom_site_occupancy
Be1 Be 0.000 0.000 0.000 1
Cd1 Cd 0.375 0.375 0.375 1
Cd2 Cd 0.375 0.375 0.874 1
Cd3 Cd 0.874 0.375 0.375 1
Cd4 Cd 0.375 0.874 0.375 1
Zr1 Zr 0.750 0.750 0.750 1

***

[11]
# Zr2BeCd | Alexandria | PBEsol | relaxed
# Relative energy among the computed polymorphs in kJ/mol of formula units: 219
# Crystal system: cubic
# Space-group type: No. 216
data_Zr2BeCd
_chemical_formula_sum 'Zr2 Be1 Cd1'
_symmetry_space_group_name_H-M 'P 1'
_symmetry_Int_Tables_number 1
_cell_length_a 4.765
_cell_length_b 4.765
_cell_length_c 4.765
_cell_angle_alpha 60.00
_cell_angle_beta 60.00
_cell_angle_gamma 60.00
loop_
_symmetry_equiv_pos_as_xyz
'x,y,z'
loop_
_atom_site_label
_atom_site_type_symbol
_atom_site_fract_x
_atom_site_fract_y
_atom_site_fract_z
_atom_site_occupancy
Be1 Be 0.500 0.500 0.500 1
Zr1 Zr 0.000 0.000 0.000 1
Zr2 Zr 0.750 0.750 0.750 1
Cd1 Cd 0.250 0.250 0.250 1

***

[12]
# Zr2Be2Cd | Alexandria | PBEsol | relaxed
# Crystal system: tetragonal
# Space-group type: No. 127
data_Zr2Be2Cd
_chemical_formula_sum 'Zr4 Be4 Cd2'
_symmetry_space_group_name_H-M 'P 1'
_symmetry_Int_Tables_number 1
_cell_length_a 3.877
_cell_length_b 6.447
_cell_length_c 6.447
_cell_angle_alpha 90.00
_cell_angle_beta 90.00
_cell_angle_gamma 90.00
loop_
_symmetry_equiv_pos_as_xyz
'x,y,z'
loop_
_atom_site_label
_atom_site_type_symbol
_atom_site_fract_x
_atom_site_fract_y
_atom_site_fract_z
_atom_site_occupancy
Be1 Be 0.000 0.378 0.878 1
Be2 Be 0.000 0.878 0.622 1
Be3 Be 0.000 0.622 0.122 1
Be4 Be 0.000 0.122 0.378 1
Zr1 Zr 0.500 0.169 0.669 1
Zr2 Zr 0.500 0.669 0.831 1
Zr3 Zr 0.500 0.831 0.331 1
Zr4 Zr 0.500 0.331 0.169 1
Cd1 Cd 0.000 0.000 0.000 1
Cd2 Cd 0.000 0.500 0.500 1

***

no.,energy (eV per atom),formation enthalpy at 0 K (meV per atom)
1,-3.78,229
2,-4.12,-110
3,-3.74,266
4,-3.95,52
5,-2.27,424
6,-2.28,415
7,-1.68,311
8,-3.66,215
9,-5.95,-109
10,-2.54,440
11,-5.39,457
12,-5.67,-192